[1]
BaDyGa2Pt2 after structural relaxation, computed with PBE.

Values from the calculation:
- raw total energy (eV/atom) = -5.058
- total magnetization (μB/cell) = 0.00

The structure in extended XYZ format:
```
6
Lattice="-2.6288 0.9649 3.5205 -1.6524 -2.3449 -3.4651 2.2687 -6.8945 3.5838" Properties=species:S:1:pos:R:3 pbc="T T T"
Ba 0.0000 0.0000 0.0000
Dy 1.1344 -3.4473 1.7919
Ga -1.6252 -2.1992 2.2632
Ga -0.3873 -6.0753 1.3760
Pt -0.7318 -4.9142 3.6745
Pt -1.2807 -3.3604 -0.0353
```

[2]
BaDyGaSe4 after structural relaxation, computed with PBE.

Values from the calculation:
- raw total energy (eV/atom) = -4.814
- ΔE_f (raw) (eV/atom) = -1.459
- total magnetization (μB/cell) = 0.00

The structure in extended XYZ format:
```
14
Lattice="6.8231 0.0000 0.0145 0.0000 7.0629 0.0000 -2.6544 0.0000 8.3567" Properties=species:S:1:pos:R:3 pbc="T T T"
Ba 2.6626 5.2972 7.8795
Ba 1.5061 1.7657 0.4917
Dy 4.0933 5.2972 3.7258
Dy 0.0754 1.7657 4.6454
Ga 0.6985 5.2972 2.7289
Ga 3.4702 1.7657 5.6423
Se -1.8143 3.6054 6.0031
Se 5.9831 0.0739 2.3681
Se 5.9831 3.4575 2.3681
Se -1.8143 6.9890 6.0031
Se 2.5420 5.2972 1.1919
Se 1.6267 1.7657 7.1793
Se 1.5201 5.2972 4.9585
Se 2.6486 1.7657 3.4127
```

[3]
Ba2DyGaSe5 after structural relaxation, computed with PBE.

Values from the calculation:
- raw total energy (eV/atom) = -4.858
- ΔE_f (raw) (eV/atom) = -1.647
- total magnetization (μB/cell) = 0.00

The structure in extended XYZ format:
```
18
Lattice="-3.9092 1.5334 0.5001 -0.9783 -5.7411 -7.9239 -3.0753 -10.4274 7.9346" Properties=species:S:1:pos:R:3 pbc="T T T"
Ba -6.6842 -11.5581 1.0709
Ba -2.8237 -8.3658 3.5795
Ba -1.7443 -4.6558 0.6413
Ba -4.7472 -4.9407 -4.0797
Dy -5.3034 -7.6568 -0.0983
Dy -1.2846 -2.3168 -2.9380
Ga -5.1640 -9.5163 6.6937
Ga -3.8977 -8.8447 -3.3478
Se -2.0692 -3.5501 -5.2897
Se -5.7336 -10.2070 4.3589
Se -4.3351 -7.3030 6.3861
Se -3.7929 -9.9098 0.7374
Se -6.2509 -9.2945 -2.4831
Se -4.4038 -6.0336 1.9566
Se -3.0031 -7.0520 -1.8515
Se -3.7735 -7.8265 -5.4991
Se -3.6602 -2.9971 -1.5417
Se -0.3734 -0.8021 -0.4597
```

[4]
Ba2DyGaSe5 after structural relaxation, computed with PBE.

Values from the calculation:
- raw total energy (eV/atom) = -4.862
- ΔE_f (raw) (eV/atom) = -1.652
- total magnetization (μB/cell) = 0.00

The structure in extended XYZ format:
```
18
Lattice="-2.7102 -6.5987 2.0507 -0.6565 0.5042 -8.7347 9.3966 -0.9719 1.4746" Properties=species:S:1:pos:R:3 pbc="T T T"
Ba 0.3554 -3.9543 -6.8182
Ba 5.6746 -3.1121 1.6089
Ba 5.3885 -2.7150 -2.7224
Ba 0.6414 -4.3514 -2.4869
Dy 6.1943 -7.1852 -2.8589
Dy -0.1644 0.1188 -2.3504
Ga 3.7038 -5.5739 -4.9532
Ga 2.3262 -1.4925 -0.2562
Se 3.3234 -6.8624 -2.9278
Se 2.7065 -0.2040 -2.2815
Se 3.7072 -7.1209 1.6875
Se 2.3228 0.0545 -6.8968
Se 6.1707 -5.1592 -5.1085
Se -0.1407 -1.9072 -0.1008
Se 6.6931 -5.3823 -0.7473
Se -0.6631 -1.6841 -4.4620
Se 2.8171 -3.3660 -4.7521
Se 3.2129 -3.7004 -0.4572
```

[5]
BaDyZnGa after structural relaxation, computed with PBE.

Values from the calculation:
- raw total energy (eV/atom) = -2.903
- total magnetization (μB/cell) = 0.00

The structure in extended XYZ format:
```
4
Lattice="5.4234 0.0000 0.0000 2.7117 4.6968 0.0000 2.7117 1.5656 4.4282" Properties=species:S:1:pos:R:3 pbc="T T T"
Zn 8.1351 4.6968 3.3211
Ba 5.4234 3.1312 2.2141
Ga 2.7117 1.5656 1.1070
Dy 0.0000 0.0000 0.0000
```

[6]
BaGdDy after structural relaxation, computed with PBE.

Values from the calculation:
- raw total energy (eV/atom) = -6.688
- total magnetization (μB/cell) = 7.58

The structure in extended XYZ format:
```
3
Lattice="-0.8336 -2.8912 2.2848 2.3074 -0.5243 -2.9454 7.3512 2.1316 5.3795" Properties=species:S:1:pos:R:3 pbc="T T T"
Gd 5.9893 0.0579 2.2585
Ba 0.0206 0.0060 0.0151
Dy 2.8152 -1.3478 2.4453
```

[7]
BaGdDy after structural relaxation, computed with PBE.

Values from the calculation:
- raw total energy (eV/atom) = -6.700
- total magnetization (μB/cell) = 7.76

The structure in extended XYZ format:
```
3
Lattice="-0.1708 0.8182 3.6808 -2.3346 -2.9163 0.5400 7.7284 -3.8766 -0.7149" Properties=species:S:1:pos:R:3 pbc="T T T"
Gd 4.1017 -3.1199 0.8839
Ba 0.0227 -0.0173 0.0049
Dy 1.0986 -2.8375 2.6170
```

[8]
BaGd2Dy after structural relaxation, computed with PBE.

Values from the calculation:
- raw total energy (eV/atom) = -8.467
- total magnetization (μB/cell) = 14.97

The structure in extended XYZ format:
```
4
Lattice="-1.5703 -1.0721 -3.0952 1.9459 -1.7684 -2.5064 -3.0082 -12.1461 3.6017" Properties=species:S:1:pos:R:3 pbc="T T T"
Gd -2.1275 -8.9984 2.0646
Gd -0.5051 -5.9882 -4.0645
Ba 0.0000 0.0000 0.0000
Dy -1.3163 -7.4933 -0.9999
```